(1)
DFT (PBE) results for a relaxed structure of Re4RhPb.

extended XYZ file:
```
6
Lattice="0.0000 3.7226 3.7226 3.7226 0.0000 3.7226 3.7226 3.7226 0.0000" Properties=species:S:1:pos:R:3 pbc="T T T"
Re 0.9170 0.9170 0.9170
Re 2.8056 2.8056 0.9170
Re 2.8056 0.9170 2.8056
Re 0.9170 2.8056 2.8056
Rh 5.5840 5.5840 5.5840
Pb 3.7226 3.7226 3.7226
```

Calculated values
As for the space group: F-43m (216). For the density of states at the Fermi level, the calculation gives 8.3 states/eV per cell.

---

(2)
DFT (PBE) results for a relaxed structure of MgAlAu2.

extended XYZ file:
```
4
Lattice="1.9294 1.1140 6.1694 -1.9294 1.1140 6.1694 0.0000 -2.2279 6.1694" Properties=species:S:1:pos:R:3 pbc="T T T"
Mg 0.0000 0.0000 0.0000
Al 0.0000 0.0000 3.1367
Au 0.0000 0.0000 10.6770
Au 0.0000 0.0000 14.0523
```

Calculated values
As for the space group: R3m (160). For the density of states at the Fermi level, the calculation gives 0.6 states/eV per cell.

---

(3)
DFT (PBE) results for a relaxed structure of HfNi2Ru.

extended XYZ file:
```
4
Lattice="0.0000 3.0399 3.0399 3.0399 0.0000 3.0399 3.0399 3.0399 0.0000" Properties=species:S:1:pos:R:3 pbc="T T T"
Hf 0.0000 0.0000 0.0000
Ni 1.5200 1.5200 1.5200
Ni 4.5599 4.5599 4.5599
Ru 3.0399 3.0399 3.0399
```

Calculated values
As for the space group: Fm-3m (225). For the density of states at the Fermi level, the calculation gives 5.6 states/eV per cell.

---

ΔH_f (0 K), record by record: 0.79; -0.38; -0.19 eV/atom